# 1
Computed, not measured: a geometry-optimized Mn2GaMo2O6 structure at the PBE with a Hubbard U level of DFT.

Its uncorrected energy is -152.82 eV/cell. The crystal system is monoclinic.

Lattice parameters (Å, degrees): 5.6704 8.9414 5.4025 90.00 107.92 90.00
Last column: nearest neighbours and their distance in Å.
Space group C2/m (No. 12)
Unique sites:
Mn (0.0000, 0.1789, 0.0000) x4  6 O 2.23-2.26
Ga (0.0000, 0.0000, 0.5000) x2  6 O 1.97-2.10
Mo (0.0000, 0.3558, 0.5000) x4  6 O 2.17-2.27
O (0.2070, 0.0000, 0.2660) x4  1 Ga 1.97, 2 Mo 2.17
O (0.2218, 0.1695, 0.7233) x8  1 Ga 2.10, 2 Mo 2.21-2.27, 2 Mn 2.23-2.26


# 2
Computed, not measured: a geometry-optimized MnGaMo2O structure at the PBE with a Hubbard U level of DFT.

Its uncorrected energy is -26.01 eV/cell. The crystal system is tetragonal.

Lattice parameters (Å, degrees): 5.3945 5.3945 3.5344 90.00 90.00 90.00
Last column: nearest neighbours and their distance in Å.
Space group P4/mmm (No. 123)
Unique sites:
Mn (0.0000, 0.0000, 0.0000) x1  2 O 1.77
Ga (0.5000, 0.5000, 0.5000) x1  8 Mo 3.22, 2 Ga 3.53
Mo (0.0000, 0.5000, 0.0000) x2  2 Mn 2.70
O (0.0000, 0.0000, 0.5000) x1  2 Mn 1.77